Below is an optimized crystal structure of Cr2NiIr, with properties calculated at the GGA-PBEsol level.

abc: 2.5632 2.5632 7.2055
angles: 90.00 90.00 90.00
Element x y z (fractional)
Cr1 0.0000 0.0000 0.2404
Cr2 0.0000 0.0000 0.7596
Ni1 0.5000 0.5000 0.0000
Ir1 0.5000 0.5000 0.5000

Properties
For the total moment, the calculation gives 0.0003 μB per atom. The calculation puts the energy of formation at 0.00 eV/f.u. As for the volume: 47.34 Å³ per cell. The calculation puts the uncorrected energy at -36.5 eV/cell.